# 1
Computed, not measured: crystalline TcCl at its relaxed geometry at the PBE level of DFT.

## Properties
E above lowest polymorph	0.326	eV per atom
formation energy from raw total energies	199.8	meV/atom

```
TcCl
1.0
-8.9948 -4.4838 3.9551
-2.4088 -3.8215 -9.8106
1.7735 -2.9338 0.7074
Tc Cl
8 8
direct
0.2888 0.1957 0.0000
0.7112 0.8043 0.0000
0.8043 0.2888 0.0000
0.1957 0.7112 0.0000
0.7888 0.6957 0.5000
0.2112 0.3043 0.5000
0.3043 0.7888 0.5000
0.6957 0.2112 0.5000
0.4959 0.7540 0.0000
0.5041 0.2460 0.0000
0.2460 0.4959 0.0000
0.7540 0.5041 0.0000
0.9959 0.2540 0.5000
0.0041 0.7460 0.5000
0.7460 0.9959 0.5000
0.2540 0.0041 0.5000
```



# 2
Computed, not measured: crystalline LaMnW2 at its relaxed geometry at the PBE level of DFT.

## Properties
energy of formation	88.4	kJ per mole of atoms
E above lowest polymorph	0.515	eV per atom

```
LaMnW2
1.0
0.0534 0.9580 -5.6264
-4.7902 0.5390 -3.0563
2.3788 1.9621 4.8030
La Mn W
1 1 2
direct
0.2500 0.7500 0.5000
0.7500 0.2500 0.5000
0.0000 0.0000 0.0000
0.5000 0.5000 0.0000
```



# 3
Computed, not measured: crystalline SrZnPb at its relaxed geometry at the PBE level of DFT.

## Properties
energy of formation	-33.2	kJ per mole of atoms

```
SrZnPb
1.0
4.6948 0.0000 0.0000
-2.3474 4.0658 0.0000
0.0000 0.0000 4.8071
Pb Sr Zn
1 1 1
direct
0.0000 0.0000 0.8500
0.6667 0.3333 0.3388
0.3333 0.6667 0.8113
```



# 4
Computed, not measured: crystalline FeAsPb2 at its relaxed geometry at the PBE level of DFT.

## Properties
energy of formation	51.8	kJ per mole of atoms

```
FeAsPb2
1.0
5.9293 -0.0006 0.0000
2.7768 5.2389 0.0000
-4.3530 -2.6191 3.0574
As Fe Pb
1 1 2
direct
0.5000 0.5000 0.0000
0.7500 0.2500 0.5000
0.0000 0.0000 0.0000
0.2500 0.7500 0.5000
```



# 5
Computed, not measured: crystalline TbNd8Dy2 at its relaxed geometry at the PBE level of DFT.

## Properties
energy of formation	15.9	kJ per mole of atoms
E above lowest polymorph	0.000	eV per atom

```
TbNd8Dy2
1.0
-5.7210 -3.4642 0.8059
-0.2050 -10.2455 -1.8018
0.0876 -9.1631 4.9285
Tb Nd Dy
1 8 2
direct
0.0000 0.0000 0.0000
0.2316 0.3487 0.8255
0.7684 0.1745 0.6513
0.1691 0.7554 0.7554
0.8309 0.2446 0.2446
0.2316 0.8255 0.3487
0.7684 0.6513 0.1745
0.7265 0.5940 0.5940
0.2735 0.4060 0.4060
0.5862 0.8029 0.8029
0.4138 0.1971 0.1971
```



# 6
Computed, not measured: crystalline CoOs2Se at its relaxed geometry at the PBE level of DFT.

## Properties
formation energy from raw total energies	535.1	meV/atom

```
CoOs2Se
1.0
4.6347 0.0165 -0.2767
3.7472 2.7276 -0.2767
0.4492 0.1470 4.5093
Co Os Se
1 2 1
direct
0.2675 0.2675 0.2634
0.9979 0.9979 0.0028
0.7298 0.7298 0.7830
0.5049 0.5049 0.4507
```



# 7
Computed, not measured: crystalline Ca2DyGa6 at its relaxed geometry at the PBE level of DFT.

## Properties
energy of formation	-50.7	kJ per mole of atoms

```
Ca2DyGa6
1.0
-1.2807 -2.5261 3.0923
5.7341 -4.5252 -1.3218
0.7125 5.5750 4.8494
Ca Dy Ga
2 1 6
direct
0.0000 0.3333 0.6667
0.0000 0.6667 0.3333
0.0000 0.0000 0.0000
0.5000 0.3316 0.3316
0.5000 0.6684 0.6684
0.5000 0.0000 0.6684
0.5000 0.6684 0.0000
0.5000 0.3316 0.0000
0.5000 0.0000 0.3316
```



# 8
Computed, not measured: crystalline Hg2Sb2As at its relaxed geometry at the PBE level of DFT.

## Properties
E above lowest polymorph	0.000	eV per atom
formation energy from raw total energies	265.4	meV/atom

```
Hg2Sb2As
1.0
-1.9396 -0.5810 -3.4875
-2.8255 -2.1364 1.9273
-6.9755 5.9255 0.5607
Sb As Hg
2 1 2
direct
0.4194 0.4194 0.1612
0.5806 0.5806 0.8388
0.0000 0.0000 0.0000
0.7500 0.2500 0.5000
0.2500 0.7500 0.5000
```



It is found that the volume values, taken in the order of the records, are 25.52, 18.91, 30.59, 23.74, 34.78, 14.28, 22.23, 28.35 Å³ per atom.
It is found that the VASP energy values, taken in the order of the records, are -0.217, -0.334, -0.094, -0.169, -0.168, -0.284, -0.129, -0.089 hartree per atom.